DFT (meta-GGA SCAN) results for a PBEsol-optimized structure of GdTa7O19.

Lattice parameters (Å, degrees): 6.2058 6.2058 19.9480 90.00 90.00 120.00
Element x y z (fractional)
Gd1 0.3333 0.6667 0.5000
Gd2 0.3333 0.6667 0.0000
Ta1 0.3048 0.3336 0.3443
Ta2 0.3048 0.3336 0.1557
Ta3 0.0288 0.3336 0.8443
Ta4 0.0288 0.3336 0.6557
Ta5 0.3048 0.9712 0.6557
Ta6 0.3048 0.9712 0.8443
Ta7 0.0000 0.0000 0.0000
Ta8 0.0000 0.0000 0.5000
Ta9 0.0288 0.6952 0.3443
Ta10 0.0288 0.6952 0.1557
Ta11 0.6664 0.9712 0.3443
Ta12 0.6664 0.9712 0.1557
Ta13 0.6664 0.6952 0.6557
Ta14 0.6664 0.6952 0.8443
O1 0.6669 0.0855 0.8468
O2 0.6669 0.0855 0.6532
O3 0.6203 0.9099 0.2500
O4 0.4186 0.0855 0.1532
O5 0.4186 0.0855 0.3468
O6 0.6203 0.7104 0.7500
O7 0.6669 0.5814 0.3468
O8 0.6669 0.5814 0.1532
O9 0.2896 0.9099 0.7500
O10 0.3333 0.6667 0.3698
O11 0.3333 0.6667 0.6302
O12 0.3333 0.6667 0.8698
O13 0.3333 0.6667 0.1302
O14 0.0901 0.7104 0.2500
O15 0.4186 0.3331 0.8468
O16 0.4186 0.3331 0.6532
O17 0.2896 0.3797 0.2500
O18 0.2362 0.2865 0.4438
O19 0.2362 0.2865 0.0562
O20 0.9145 0.5814 0.8468
O21 0.9145 0.5814 0.6532
O22 0.0901 0.3797 0.7500
O23 0.0503 0.2865 0.9438
O24 0.0503 0.2865 0.5562
O25 0.9145 0.3331 0.3468
O26 0.9145 0.3331 0.1532
O27 0.2362 0.9497 0.9438
O28 0.2362 0.9497 0.5562
O29 0.0000 0.0000 0.1679
O30 0.0000 0.0000 0.8321
O31 0.0000 0.0000 0.6679
O32 0.0000 0.0000 0.3321
O33 0.0503 0.7638 0.0562
O34 0.0503 0.7638 0.4438
O35 0.7135 0.9497 0.0562
O36 0.7135 0.9497 0.4438
O37 0.7135 0.7638 0.5562
O38 0.7135 0.7638 0.9438

Results
**Formation energy (no corrections)**: -3.150 eV per atom
**Energy**: -26.98 eV/atom
**Space group**: No. 188

=====

DFT (meta-GGA SCAN) results for a PBEsol-optimized structure of CsBi3Pt.

Lattice parameters (Å, degrees): 5.5566 5.5566 5.5566 90.00 90.00 90.00
Element x y z (fractional)
Cs1 0.5000 0.5000 0.5000
Bi1 0.0000 0.5000 0.0000
Bi2 0.0000 0.0000 0.5000
Bi3 0.5000 0.0000 0.0000
Pt1 0.0000 0.0000 0.0000

Results
**Energy**: -68.67 eV/atom
**Formation enthalpy at 0 K**: 0.40 eV/f.u.
**Energy above the lowest structure with this stoichiometry**: 0.0 meV/atom
**Space group**: No. 221

=====

DFT (meta-GGA SCAN) results for a PBEsol-optimized structure of BeFe2OsPd.

Lattice parameters (Å, degrees): 3.9203 3.9203 3.9434 90.00 90.00 90.00
Element x y z (fractional)
Be1 0.0000 0.0000 0.0000
Os1 0.5000 0.5000 0.5000
Fe1 0.0000 0.5000 0.0000
Fe2 0.5000 0.0000 0.0000
Pd1 0.0000 0.0000 0.5000

Results
**Energy**: -28.43 eV/atom
**Formation enthalpy at 0 K**: 3.11 eV/f.u.
**Space group**: No. 123

=====

DFT (meta-GGA SCAN) results for a PBEsol-optimized structure of LiScCu.

Lattice parameters (Å, degrees): 3.0342 3.0342 6.6763 90.00 90.00 120.00
Element x y z (fractional)
Cu1 0.0000 0.0000 0.9980
Li1 0.3333 0.6667 0.7017
Sc1 0.6667 0.3333 0.3003

Results
**Energy**: -10.42 eV/atom
**Formation enthalpy at 0 K**: 0.57 eV/f.u.
**Energy above the lowest structure with this stoichiometry**: 168.5 meV/atom
**Space group**: No. 156

=====

DFT (meta-GGA SCAN) results for a PBEsol-optimized structure of Au5Cl.

Lattice parameters (Å, degrees): 3.1196 3.1196 10.8042 90.00 90.00 90.00
Element x y z (fractional)
Au1 0.0000 0.0000 0.8213
Au2 0.0000 0.0000 0.1787
Au3 0.5000 0.5000 0.6604
Au4 0.5000 0.5000 0.3396
Au5 0.0000 0.0000 0.5000
Cl1 0.5000 0.5000 0.0000

Results
**Formation energy (no corrections)**: 0.110 eV per atom
**Energy**: -58.85 eV/atom
**Energy above the lowest structure with this stoichiometry**: 0.0 meV/atom
**Space group**: No. 123

=====

DFT (meta-GGA SCAN) results for a PBEsol-optimized structure of Be3NiW.

Lattice parameters (Å, degrees): 4.1922 4.1922 4.1922 90.00 90.00 90.00
Element x y z (fractional)
Ni1 0.5000 0.5000 0.5000
W1 0.0000 0.0000 0.0000
Be1 0.0000 0.5000 0.0000
Be2 0.0000 0.0000 0.5000
Be3 0.5000 0.0000 0.0000

Results
**Energy**: -18.02 eV/atom
**Formation enthalpy at 0 K**: 8.81 eV/f.u.
**Space group**: No. 221

=====

DFT (meta-GGA SCAN) results for a PBEsol-optimized structure of RbZn3As.

Lattice parameters (Å, degrees): 6.0691 6.0691 6.0691 90.00 90.00 90.00
Element x y z (fractional)
As1 0.5000 0.5000 0.5000
Zn1 0.0000 0.5000 0.0000
Zn2 0.0000 0.0000 0.5000
Zn3 0.5000 0.0000 0.0000
Rb1 0.0000 0.0000 0.0000

Results
**Energy**: -15.01 eV/atom
**Formation enthalpy at 0 K**: 6.42 eV/f.u.
**Energy above the lowest structure with this stoichiometry**: 972.0 meV/atom
**Space group**: No. 221

=====

DFT (meta-GGA SCAN) results for a PBEsol-optimized structure of CdSb2Rh.

Lattice parameters (Å, degrees): 3.2755 3.2755 9.5185 80.09 80.09 60.00
Element x y z (fractional)
Cd1 0.5129 0.5129 0.4612
Rh1 0.2528 0.2528 0.2416
Sb1 0.9823 0.9823 0.0532
Sb2 0.7520 0.7520 0.7441

Results
**Formation energy (no corrections)**: -0.006 eV per atom
**Energy**: -34.68 eV/atom
**Space group**: No. 160

=====

DFT (meta-GGA SCAN) results for a PBEsol-optimized structure of ReNi2Br.

Lattice parameters (Å, degrees): 3.8445 3.8445 4.5515 114.98 114.98 90.00
Element x y z (fractional)
Br1 0.0000 0.0000 0.0000
Ni1 0.7500 0.2500 0.5000
Ni2 0.2500 0.7500 0.5000
Re1 0.5000 0.5000 0.0000

Results
**Formation energy (no corrections)**: 1.302 eV per atom
**Energy**: -29.42 eV/atom
**Space group**: No. 139

=====

DFT (meta-GGA SCAN) results for a PBEsol-optimized structure of CuHgSe2O6.

Lattice parameters (Å, degrees): 7.3447 7.5835 10.4642 90.00 90.00 94.25
Element x y z (fractional)
Cu1 0.9828 0.6835 0.0844
Cu2 0.5172 0.3165 0.5844
Cu3 0.0172 0.3165 0.9156
Cu4 0.4828 0.6835 0.4156
Hg1 0.5164 0.7393 0.0567
Hg2 0.9836 0.2607 0.5567
Hg3 0.4836 0.2607 0.9433
Hg4 0.0164 0.7393 0.4433
Se1 0.1838 0.9470 0.8928
Se2 0.3162 0.0530 0.3928
Se3 0.8162 0.0530 0.1072
Se4 0.6838 0.9470 0.6072
Se5 0.2583 0.4312 0.2228
Se6 0.2417 0.5688 0.7228
Se7 0.7417 0.5688 0.7772
Se8 0.7583 0.4312 0.2772
O1 0.1549 0.1323 0.9879
O2 0.3451 0.8677 0.4879
O3 0.8451 0.8677 0.0121
O4 0.6549 0.1323 0.5121
O5 0.4108 0.9926 0.8579
O6 0.0892 0.0074 0.3579
O7 0.5892 0.0074 0.1421
O8 0.9108 0.9926 0.6421
O9 0.2081 0.7856 0.0097
O10 0.2919 0.2144 0.5097
O11 0.7919 0.2144 0.9903
O12 0.7081 0.7856 0.4903
O13 0.0782 0.4597 0.1209
O14 0.4218 0.5403 0.6209
O15 0.9218 0.5403 0.8791
O16 0.5782 0.4597 0.3791
O17 0.2867 0.6395 0.2915
O18 0.2133 0.3605 0.7915
O19 0.7133 0.3605 0.7085
O20 0.7867 0.6395 0.2085
O21 0.4416 0.4502 0.1169
O22 0.0584 0.5498 0.6169
O23 0.5584 0.5498 0.8831
O24 0.9416 0.4502 0.3831

Results
**Formation energy (no corrections)**: -0.776 eV per atom
**Energy**: -16.87 eV/atom
**Space group**: No. 14

=====

DFT (meta-GGA SCAN) results for a PBEsol-optimized structure of BeTc2Te.

Lattice parameters (Å, degrees): 3.8028 3.8028 4.8003 113.33 113.33 90.00
Element x y z (fractional)
Be1 0.2500 0.7500 0.5000
Te1 0.5000 0.5000 0.0000
Tc1 0.0000 0.0000 0.0000
Tc2 0.7500 0.2500 0.5000

Results
**Formation energy (no corrections)**: 0.390 eV per atom
**Energy**: -27.54 eV/atom
**Energy above the lowest structure with this stoichiometry**: 219.0 meV/atom
**Space group**: No. 119

=====

DFT (meta-GGA SCAN) results for a PBEsol-optimized structure of Mg2ZnIr.

Lattice parameters (Å, degrees): 4.4313 4.4313 4.4313 60.00 60.00 60.00
Element x y z (fractional)
Zn1 0.2500 0.2500 0.2500
Ir1 0.5000 0.5000 0.5000
Mg1 0.0000 0.0000 0.0000
Mg2 0.7500 0.7500 0.7500

Results
**Energy**: -24.01 eV/atom
**Formation enthalpy at 0 K**: -1.47 eV/f.u.
**Space group**: No. 216

=====

DFT (meta-GGA SCAN) results for a PBEsol-optimized structure of CrNi.

Lattice parameters (Å, degrees): 2.4106 4.4015 4.7234 117.34 104.78 90.00
Element x y z (fractional)
Ni1 0.8763 0.5403 0.7527
Ni2 0.1237 0.4597 0.2473
Cr1 0.3773 0.0341 0.7546
Cr2 0.6227 0.9659 0.2454

Results
**Energy**: -17.15 eV/atom
**Formation enthalpy at 0 K**: 0.26 eV/f.u.
**Space group**: No. 12

=====

DFT (meta-GGA SCAN) results for a PBEsol-optimized structure of LaY2Mg.

Lattice parameters (Å, degrees): 5.5355 5.5355 5.5355 60.00 60.00 60.00
Element x y z (fractional)
La1 0.5000 0.5000 0.5000
Mg1 0.2500 0.2500 0.2500
Y1 0.0000 0.0000 0.0000
Y2 0.7500 0.7500 0.7500

Results
**Energy**: -25.91 eV/atom
**Formation enthalpy at 0 K**: 0.13 eV/f.u.
**Space group**: No. 216

=====

DFT (meta-GGA SCAN) results for a PBEsol-optimized structure of ScTaRu.

Lattice parameters (Å, degrees): 3.1540 3.1540 5.5594 106.48 106.48 90.00
Element x y z (fractional)
Ru1 0.0099 0.0099 0.0197
Sc1 0.3406 0.3406 0.6812
Ta1 0.6495 0.6495 0.2991

Results
**Energy**: -38.94 eV/atom
**Formation enthalpy at 0 K**: -1.16 eV/f.u.
**Energy above the lowest structure with this stoichiometry**: 0.0 meV/atom
**Space group**: No. 107

=====

DFT (meta-GGA SCAN) results for a PBEsol-optimized structure of Sr2Sc.

Lattice parameters (Å, degrees): 3.7422 3.7422 17.3762 96.18 96.18 90.00
Element x y z (fractional)
Sc1 0.7500 0.2500 0.5000
Sc2 0.5000 0.5000 0.0000
Sr1 0.1767 0.6767 0.3534
Sr2 0.0733 0.0733 0.1466
Sr3 0.3233 0.8233 0.6466
Sr4 0.9267 0.9267 0.8534

Results
**Energy**: -19.25 eV/atom
**Formation enthalpy at 0 K**: 1.03 eV/f.u.
**Energy above the lowest structure with this stoichiometry**: 0.0 meV/atom
**Space group**: No. 141

=====

DFT (meta-GGA SCAN) results for a PBEsol-optimized structure of KMnRe2.

Lattice parameters (Å, degrees): 2.7144 2.7144 10.1969 82.35 82.35 60.00
Element x y z (fractional)
K1 0.5000 0.5000 0.5000
Mn1 0.0000 0.0000 0.0000
Re1 0.2669 0.2669 0.1994
Re2 0.7331 0.7331 0.8006

Results
**Energy**: -41.47 eV/atom
**Formation enthalpy at 0 K**: 2.92 eV/f.u.
**Energy above the lowest structure with this stoichiometry**: 0.0 meV/atom
**Space group**: No. 166

=====

DFT (meta-GGA SCAN) results for a PBEsol-optimized structure of CdHg2Pb.

Lattice parameters (Å, degrees): 3.2699 5.3441 5.6739 90.00 90.16 90.00
Element x y z (fractional)
Pb1 0.5023 0.0000 0.4971
Hg1 0.0133 0.0000 0.9959
Hg2 0.9812 0.5000 0.2546
Cd1 0.0033 0.5000 0.7525

Results
**Energy**: -60.59 eV/atom
**Formation enthalpy at 0 K**: 0.18 eV/f.u.
**Space group**: No. 6

=====

DFT (meta-GGA SCAN) results for a PBEsol-optimized structure of YZr2Os.

Lattice parameters (Å, degrees): 4.8041 4.8041 4.8041 60.00 60.00 60.00
Element x y z (fractional)
Os1 0.0000 0.0000 0.0000
Y1 0.5000 0.5000 0.5000
Zr1 0.2500 0.2500 0.2500
Zr2 0.7500 0.7500 0.7500

Results
**Energy**: -40.36 eV/atom
**Formation enthalpy at 0 K**: -0.31 eV/f.u.
**Energy above the lowest structure with this stoichiometry**: 249.8 meV/atom
**Space group**: No. 225

=====

DFT (meta-GGA SCAN) results for a PBEsol-optimized structure of BeMoIr2.

Lattice parameters (Å, degrees): 2.7380 4.5020 4.5020 104.78 90.00 90.00
Element x y z (fractional)
Be1 0.5000 0.5000 0.5000
Mo1 0.5000 0.0000 0.0000
Ir1 0.0000 0.5000 0.0000
Ir2 0.0000 0.0000 0.5000

Results
**Energy**: -45.58 eV/atom
**Formation enthalpy at 0 K**: -0.86 eV/f.u.
**Space group**: No. 65